First-principles (PBE+U) data for an optimized crystal structure of Rb2CoBr2F2, as listed in the Alexandria database.

Computed properties:
Its magnetization is 0.4325 μB/atom. The calculation puts the total energy at -3.90 eV/atom. The space group is No. 12.

a b c (Å): 6.956 6.956 7.693
angles (deg): 119.12 119.12 34.58
Atoms (fractional coordinates):
Rb: 0.187 0.187 0.225
Rb: 0.813 0.813 0.775
Co: 0.000 0.000 0.500
Br: 0.457 0.457 0.230
Br: 0.543 0.543 0.770
F: 0.162 0.162 0.569
F: 0.838 0.838 0.431